Entry from Alexandria: crystalline Tb4GaBi2 at its relaxed geometry (PBE-GGA).

The structure in POSCAR format:
```
Tb4GaBi2
1.0
-2.3565 3.3868 2.0617
-3.1434 -5.2109 4.9671
9.3220 1.7666 7.7528
Tb Ga Bi
8 2 4
direct
0.0000 0.6453 0.7871 Tb
0.0000 0.3547 0.2129 Tb
0.0000 0.1453 0.7129 Tb
0.0000 0.8547 0.2871 Tb
0.5000 0.7888 0.5568 Tb
0.5000 0.2112 0.4432 Tb
0.5000 0.7112 0.0568 Tb
0.5000 0.2888 0.9432 Tb
0.0000 0.0000 0.5000 Ga
0.0000 0.5000 0.0000 Ga
0.5000 0.9202 0.8252 Bi
0.5000 0.0798 0.1748 Bi
0.5000 0.4202 0.6748 Bi
0.5000 0.5798 0.3252 Bi
```

VASP energy   -0.353 Ry per atom
ΔH_f (0 K)   -0.6146 eV/atom